[1]
## La2Ho3 (PBE)

Data for La2Ho3 after structural relaxation.

Cell and atoms, written as POSCAR:
```
La2Ho3
1.0
6.2916 0.0000 0.0000
0.0000 6.6735 0.0000
-3.1458 -3.3368 8.1209
Ho La
6 4
Direct
0.4096 0.5257 0.8192
0.7500 0.0000 0.0000
0.5904 0.4743 0.1808
0.2500 0.0000 0.0000
0.9096 0.2935 0.8192
0.0904 0.7065 0.1808
0.1904 0.3325 0.3808
0.3096 0.9517 0.6192
0.8096 0.6675 0.6192
0.6904 0.0483 0.3808
```

Properties
The calculation puts the energy relative to the lowest polymorph listed for this composition at 0.00 kcal/mol of atoms. The space-group type is Ibam. For the magnetic moment, the calculation gives 0.0 μB per formula unit. Its formation energy is 0.13 eV/atom. The value obtained for the density of states at the Fermi level is 7.63 states/eV/f.u.

[2]
## La3Ho (PBE)

Data for La3Ho after structural relaxation.

Cell and atoms, written as POSCAR:
```
La3Ho
1.0
-0.2523 2.2513 -2.9614
-1.4783 -5.0289 -3.6972
-4.9407 2.2503 4.4789
Ho La
1 3
Direct
0.0000 0.9998 0.0000
0.7472 0.0810 0.4944
0.2528 0.5866 0.5056
0.5000 0.4993 0.0000
```

Properties
The space-group type is Imm2. For the magnetic moment, the calculation gives 0.0 μB per formula unit. Its formation energy is 0.04 eV/atom. The value obtained for the density of states at the Fermi level is 7.20 states/eV/f.u.

[3]
## La3Ho7 (PBE)

Data for La3Ho7 after structural relaxation.

Cell and atoms, written as POSCAR:
```
La3Ho7
1.0
6.5435 0.0000 0.0000
0.0000 10.8032 0.0000
0.0000 -5.4016 9.3558
Ho La
14 6
Direct
0.5135 0.3333 0.6667
0.2114 0.4716 0.5284
0.8864 0.2407 0.1203
0.2114 0.0569 0.5284
0.3864 0.1203 0.8797
0.7114 0.9431 0.4716
0.3864 0.7593 0.8797
0.0135 0.6667 0.3333
0.8864 0.8797 0.7593
0.3864 0.1203 0.2407
0.7114 0.5284 0.0569
0.7114 0.5284 0.4716
0.2114 0.4716 0.9431
0.8864 0.8797 0.1203
0.3671 0.7972 0.5945
0.3671 0.7972 0.2028
0.3671 0.4055 0.2028
0.8671 0.2028 0.4055
0.8671 0.5945 0.7972
0.8671 0.2028 0.7972
```

Properties
The calculation puts the energy relative to the lowest polymorph listed for this composition at 3.10 kcal/mol of atoms. The space-group type is P6_3mc. For the magnetic moment, the calculation gives 0.0 μB per formula unit. Its formation energy is 0.18 eV/atom. The value obtained for the density of states at the Fermi level is 14.82 states/eV/f.u.

[4]
## La6Ho7 (PBE)

Data for La6Ho7 after structural relaxation.

Cell and atoms, written as POSCAR:
```
La6Ho7
1.0
6.6073 0.0000 1.3274
3.1703 5.7970 1.3274
0.9891 0.5864 12.1849
La Ho
6 7
Direct
0.3335 0.3335 0.9996
0.9464 0.9464 0.1607
0.8405 0.8405 0.4786
0.1595 0.1595 0.5214
0.0536 0.0536 0.8393
0.6665 0.6665 0.0004
0.0856 0.5859 0.7427
0.4141 0.4141 0.2573
0.4141 0.9144 0.2573
0.5859 0.5859 0.7427
0.9144 0.4141 0.2573
0.5000 0.5000 0.5000
0.5859 0.0856 0.7427
```

Properties
The space-group type is R-3m. For the magnetic moment, the calculation gives 0.2 μB per formula unit. Its formation energy is 0.24 eV/atom. The value obtained for the density of states at the Fermi level is 32.31 states/eV/f.u.

[5]
## LaHo7 (PBE)

Data for LaHo7 after structural relaxation.

Cell and atoms, written as POSCAR:
```
LaHo7
1.0
-0.6329 6.9292 -1.3904
-6.4021 2.8015 -1.2297
-2.9596 4.3229 4.7854
Ho La
7 1
Direct
0.5000 0.5000 0.0000
0.5000 0.0000 0.0000
0.0000 0.0000 0.5000
0.0000 0.5000 0.0000
0.5000 0.5000 0.5000
0.5000 0.0000 0.5000
0.0000 0.5000 0.5000
0.0000 0.0000 0.0000
```

Properties
The space-group type is Fm-3m. For the magnetic moment, the calculation gives 0.0 μB per formula unit. Its formation energy is 0.02 eV/atom. The value obtained for the density of states at the Fermi level is 10.37 states/eV/f.u.

[6]
## LiLa5Ho4 (PBE)

Data for LiLa5Ho4 after structural relaxation.

Cell and atoms, written as POSCAR:
```
LiLa5Ho4
1.0
-1.8962 -3.1199 -0.5876
3.1400 -1.9441 0.1893
-3.0829 -2.6440 23.9879
La Ho Li
5 4 1
Direct
0.5000 0.5000 0.2952
0.5000 0.5000 0.0895
0.5000 0.5000 0.5000
0.5000 0.5000 0.9105
0.5000 0.5000 0.7048
0.0000 0.0000 0.3975
0.0000 0.0000 0.1920
0.0000 0.0000 0.8080
0.0000 0.0000 0.6025
0.0000 0.0000 0.0000
```

Properties
The space-group type is P4/mmm. For the magnetic moment, the calculation gives 0.0 μB per formula unit. Its formation energy is 0.04 eV/atom. The value obtained for the density of states at the Fermi level is 15.61 states/eV/f.u.

[7]
## LiLa14Ho (PBE)

Data for LiLa14Ho after structural relaxation.

Cell and atoms, written as POSCAR:
```
LiLa14Ho
1.0
-3.6867 -3.8565 5.0469
6.3152 -2.8490 2.4366
0.9698 7.9532 6.7857
La Ho Li
14 1 1
Direct
0.6245 0.1255 0.7473
0.6245 0.6245 0.7473
0.6245 0.1255 0.2527
0.8750 0.3750 0.0000
0.1255 0.6245 0.2527
0.1255 0.1255 0.7473
0.3750 0.3750 0.0000
0.1255 0.6245 0.7473
0.3750 0.8750 0.5000
0.8750 0.3750 0.5000
0.3750 0.8750 0.0000
0.8750 0.8750 0.0000
0.1255 0.1255 0.2527
0.6245 0.6245 0.2527
0.8750 0.8750 0.5000
0.3750 0.3750 0.5000
```

Properties
The space-group type is P4/mmm. For the magnetic moment, the calculation gives 0.0 μB per formula unit. Its formation energy is 0.03 eV/atom. The value obtained for the density of states at the Fermi level is 25.23 states/eV/f.u.

[8]
## LiLa2Ho (PBE)

Data for LiLa2Ho after structural relaxation.

Cell and atoms, written as POSCAR:
```
LiLa2Ho
1.0
5.6624 0.0000 0.0000
2.8312 4.9038 0.0000
2.8312 1.6346 4.6233
Ho Li La
1 1 2
Direct
0.0000 0.0000 0.0000
0.5000 0.5000 0.5000
0.7500 0.7500 0.7500
0.2500 0.2500 0.2500
```

Properties
The calculation puts the energy relative to the lowest polymorph listed for this composition at 1.60 kcal/mol of atoms. The space-group type is Fm-3m. For the magnetic moment, the calculation gives 0.0 μB per formula unit. Its formation energy is 0.14 eV/atom. The value obtained for the density of states at the Fermi level is 4.59 states/eV/f.u.

[9]
## Li4LaHo (PBE)

Data for Li4LaHo after structural relaxation.

Cell and atoms, written as POSCAR:
```
Li4LaHo
1.0
-3.3703 3.8345 -3.0417
-5.8291 -0.9907 -0.5951
-3.9066 3.4427 2.8637
Li La Ho
4 1 1
Direct
0.6258 0.1227 0.6258
0.1227 0.6258 0.6258
0.6258 0.6258 0.6258
0.6258 0.6258 0.1227
0.2500 0.2500 0.2500
0.0000 0.0000 0.0000
```

Properties
The space-group type is F-43m. For the magnetic moment, the calculation gives 0.0 μB per formula unit. Its formation energy is 0.11 eV/atom. The value obtained for the density of states at the Fermi level is 6.90 states/eV/f.u.

[10]
## LiLa2Ho (PBE)

Data for LiLa2Ho after structural relaxation.

Cell and atoms, written as POSCAR:
```
LiLa2Ho
1.0
3.7067 0.0000 0.0000
0.0000 3.7067 0.0000
0.0000 0.0000 9.2887
La Ho Li
2 1 1
Direct
0.0000 0.0000 0.2341
0.0000 0.0000 0.7659
0.5000 0.5000 0.5000
0.5000 0.5000 0.0000
```

Properties
The calculation puts the energy relative to the lowest polymorph listed for this composition at 0.09 kcal/mol of atoms. The space-group type is P4/mmm. For the magnetic moment, the calculation gives 0.0 μB per formula unit. Its formation energy is 0.07 eV/atom. The value obtained for the density of states at the Fermi level is 6.51 states/eV/f.u.

[11]
## Li2LaHo (PBE)

Data for Li2LaHo after structural relaxation.

Cell and atoms, written as POSCAR:
```
Li2LaHo
1.0
-2.8675 -0.2750 4.5339
-4.9231 -2.1479 -0.0619
-0.8846 -4.7565 2.3341
Li Ho La
2 1 1
Direct
0.7500 0.7500 0.7500
0.2500 0.2500 0.2500
0.0000 0.0000 0.0000
0.5000 0.5000 0.5000
```

Properties
The calculation puts the energy relative to the lowest polymorph listed for this composition at 0.16 kcal/mol of atoms. The space-group type is Fm-3m. For the magnetic moment, the calculation gives 0.5 μB per formula unit. Its formation energy is 0.16 eV/atom. The value obtained for the density of states at the Fermi level is 5.82 states/eV/f.u.

[12]
## LiLa2Ho (PBE)

Data for LiLa2Ho after structural relaxation.

Cell and atoms, written as POSCAR:
```
LiLa2Ho
1.0
-1.9762 2.8439 -0.7561
-3.1775 -0.4026 -1.5187
-7.0688 0.1210 10.6212
La Li Ho
2 1 1
Direct
0.0894 0.0894 0.7318
0.9106 0.9106 0.2682
0.0000 0.0000 0.0000
0.5000 0.5000 0.5000
```

Properties
The calculation puts the energy relative to the lowest polymorph listed for this composition at 2.14 kcal/mol of atoms. The space-group type is R-3m. For the magnetic moment, the calculation gives 0.0 μB per formula unit. Its formation energy is 0.16 eV/atom. The value obtained for the density of states at the Fermi level is 5.64 states/eV/f.u.